[1]
Below is a relaxed Na4PO5 crystal, with properties calculated at the PBE level.

a b c (Å): 6.960 6.960 5.116
angles (deg): 90.00 90.00 90.00
Space group I4 (No. 79)
Unique sites:
Na 0.090 0.290 0.000 (multiplicity 8)
P 0.000 0.000 0.466 (multiplicity 2)
O 0.000 0.000 0.157 (multiplicity 2)
O 0.066 0.225 0.544 (multiplicity 8)

## Properties
Raw total energy   -105.79 eV for the cell shown

---

[2]
Below is a relaxed NaP2O2 crystal, with properties calculated at the PBE level.

a b c (Å): 3.954 3.954 5.553
angles (deg): 90.00 90.00 90.00
Space group P4/mmm (No. 123)
Unique sites:
Na 0.000 0.000 0.000 (multiplicity 1)
P 0.000 0.000 0.500 (multiplicity 1)
P 0.500 0.500 0.500 (multiplicity 1)
O 0.000 0.500 0.000 (multiplicity 2)

## Properties
Raw total energy   -16.81 eV for the cell shown
Excess energy over the best structure of this formula in the dataset   1422 meV/atom

---

[3]
Below is a relaxed Na8P2O crystal, with properties calculated at the PBE level.

a b c (Å): 17.003 4.788 6.021
angles (deg): 90.00 110.64 90.00
Space group C2/m (No. 12)
Unique sites:
Na 0.007 0.000 0.273 (multiplicity 4)
Na 0.094 0.500 0.883 (multiplicity 4)
Na 0.130 0.500 0.425 (multiplicity 4)
Na 0.228 0.000 0.771 (multiplicity 4)
P 0.159 0.000 0.165 (multiplicity 4)
O 0.000 0.500 0.500 (multiplicity 2)

## Properties
Raw total energy   -63.93 eV for the cell shown